First-principles (PBE) data for crystalline PaCdAgGe at its relaxed geometry, as listed in Alexandria via LeMat-Bulk.

Lattice parameters (Å, degrees): 4.9507 4.9507 4.9507 60.00 60.00 60.00
Site moments in Bohr magnetons follow the coordinates.
Fractional positions:
Ag1 0.0000 0.0000 0.0000  0.00
Ge1 0.5000 0.5000 0.5000  0.01
Cd1 0.7500 0.7500 0.7500  0.00
Pa1 0.2500 0.2500 0.2500  0.26

Properties
The calculation puts the uncorrected energy at -0.1643 Ha/atom. Its crystal system is cubic. The density of states at the Fermi level is 4.86 states/eV per cell. The energy relative to the elements is 0 kJ/mol of atoms. As for the space-group type: F-43m.

=====

First-principles (PBE) data for crystalline Nd3P2N6 at its relaxed geometry, as listed in Alexandria via LeMat-Bulk.

Lattice parameters (Å, degrees): 4.2331 4.2331 9.9066 84.63 84.63 82.76
Fractional positions:
Nd1 0.7244 0.7244 0.3582
Nd2 0.0000 0.0000 0.0000
Nd3 0.2756 0.2756 0.6418
N1 0.5085 0.9958 0.8405
N2 0.9958 0.5085 0.8405
N3 0.0042 0.4915 0.1595
N4 0.6667 0.6667 0.6125
N5 0.4915 0.0042 0.1595
N6 0.3333 0.3333 0.3875
P1 0.3139 0.3139 0.2243
P2 0.6861 0.6861 0.7757

Properties
The calculation puts the uncorrected energy at -0.2842 Ha/atom. For the formation energy (no corrections), the calculation gives -0.9089 eV/atom. Its crystal system is monoclinic. The density of states at the Fermi level is 2.31 states/eV per cell. As for the space-group type: C2/m.

=====

Q: uncorrected energy of number 2 (Nd3P2N6)?
A: -0.2842 Ha/atom